1.
Li3Hf2Ta3O12: relaxed, PBE.

Output
- ρ: 9.06 g/cm3

a = 11.7703 Å, b = 11.7703 Å, c = 11.7703 Å
α = 90.00°, β = 90.00°, γ = 90.00°
Space group Ia-3d (No. 230)
Asymmetric unit:
Li: 0.0000 0.2500 0.3750 x24
Hf: 0.0000 0.0000 0.0000 x16
Ta: 0.0000 0.2500 0.1250 x24
O: 0.0241 0.0707 0.6581 x96

---

2.
ZrTlCuTc: relaxed, PBE.

Output
- Excess energy over the best structure of this formula in the dataset: 171 meV/atom
- ρ: 10.51 g/cm3

a = 6.6103 Å, b = 6.6103 Å, c = 6.6103 Å
α = 90.00°, β = 90.00°, γ = 90.00°
Space group F-43m (No. 216)
Asymmetric unit:
Zr: 0.0000 0.0000 0.0000 x4
Tl: 0.2500 0.2500 0.2500 x4
Cu: 0.0000 0.0000 0.5000 x4
Tc: 0.2500 0.2500 0.7500 x4

---

3.
ZnGeSeO: relaxed, PBE.

Output
- Excess energy over the best structure of this formula in the dataset: 26 meV/atom
- ρ: 5.04 g/cm3

a = 7.4836 Å, b = 7.0297 Å, c = 5.8429 Å
α = 90.00°, β = 90.00°, γ = 90.00°
Space group Pca2_1 (No. 29)
Asymmetric unit:
Zn: 0.0881 0.1544 0.0000 x4
Ge: 0.1162 0.6019 0.9016 x4
Se: 0.0865 0.1308 0.5847 x4
O: 0.0268 0.4125 0.1116 x4

---

4.
KNaPPd: relaxed, PBE.

Output
- Excess energy over the best structure of this formula in the dataset: 13 meV/atom
- ρ: 3.49 g/cm3

a = 5.7092 Å, b = 9.3058 Å, c = 7.1531 Å
α = 90.00°, β = 90.00°, γ = 90.00°
Space group Amm2 (No. 38)
Asymmetric unit:
K: 0.0000 0.1738 0.0000 x4
Na: 0.5000 0.1734 0.7050 x4
P: 0.0000 0.0000 0.6127 x2
P: 0.5000 0.0000 0.0956 x2
Pd: 0.2591 0.0000 0.3633 x4

---

Energy across the listed records, respectively: -1375.2 -93.7 -70.2 -57.9 eV per cell.